VASP calculation (PBE-GGA) on a geometry-optimized CaMgAg2 structure.

Unit cell a=4.640 b=3.680 c=5.789 alpha=71.04 beta=90.00 gamma=90.00
Atoms (fractional coordinates):
Ca 0.000 0.471 0.428
Mg 0.500 0.770 0.835
Ag 0.500 0.052 0.271
Ag 0.000 0.207 0.966

Results
total energy	-10.16	eV for the cell shown
SG	Pm (6)
DFT formation energy	-0.2143	eV/atom